# MgMn2Ni, optimized geometry, DFT PBE
# volume = 14.283 Å³/atom
# calculated formation energy = 0.75 eV per formula unit
# symmetry = No. 8
# DOS(E_F) = 0.586 states/eV/atom
# uncorrected energy = -25.0 eV/f.u.
data_MgMn2Ni
_symmetry_space_group_name_H-M 'P 1'
_symmetry_Int_Tables_number 1
_symmetry_space_group_name_Hall 'P 1'
_cell_length_a 5.126
_cell_length_b 5.126
_cell_length_c 4.374
_cell_angle_alpha 114.77
_cell_angle_beta 114.77
_cell_angle_gamma 33.56
loop_
_atom_site_label
_atom_site_type_symbol
_atom_site_fract_x
_atom_site_fract_y
_atom_site_fract_z
Mg1 Mg 0.000 0.000 0.000
Mn1 Mn 0.538 0.538 0.538
Mn2 Mn 0.773 0.773 0.273
Ni1 Ni 0.257 0.257 0.757